# 1
Computed, not measured: Th2MnGa after structural relaxation at the PBE level of DFT.

```
4
Lattice="4.770 0.000 0.000 0.000 4.770 0.000 0.000 0.000 4.204" Properties=species:S:1:pos:R:3 pbc="T T T"
Th 0.000 2.385 0.000
Th 2.385 0.000 0.000
Mn 0.000 0.000 2.102
Ga 2.385 2.385 2.102
```

Energy relative to the elements, eV/f.u.: -0.25



# 2
Computed, not measured: Ta3MnC after structural relaxation at the PBE level of DFT.

```
5
Lattice="4.536 0.000 0.000 0.000 4.536 0.000 0.000 0.000 4.536" Properties=species:S:1:pos:R:3 pbc="T T T"
Ta 0.000 0.000 2.268
Ta 0.000 2.268 0.000
Ta 2.268 0.000 0.000
Mn 0.000 0.000 0.000
C 2.268 2.268 2.268
```

Energy relative to the elements, eV/f.u.: 9.55



# 3
Computed, not measured: BaCdTc4 after structural relaxation at the PBE level of DFT.

```
6
Lattice="0.000 3.873 3.873 3.873 0.000 3.873 3.873 3.873 0.000" Properties=species:S:1:pos:R:3 pbc="T T T"
Ba 0.000 0.000 0.000
Cd 5.809 5.809 5.809
Tc 2.908 2.908 2.908
Tc 4.838 4.838 2.908
Tc 4.838 2.908 4.838
Tc 2.908 4.838 4.838
```

Energy relative to the elements, eV/f.u.: 4.47



# 4
Computed, not measured: InNiSe2 after structural relaxation at the PBE level of DFT.

```
8
Lattice="5.604 0.000 0.000 0.000 7.686 0.000 -2.786 0.000 3.846" Properties=species:S:1:pos:R:3 pbc="T T T"
In 0.000 0.000 0.000
In 2.802 3.843 0.000
Ni 0.000 3.843 0.000
Ni 2.802 0.000 0.000
Se 0.008 1.921 1.923
Se 0.008 5.764 1.923
Se 2.810 1.921 1.923
Se 2.810 5.764 1.923
```

Energy relative to the elements, uncorrected, kcal/mol of atoms: 2.2



# 5
Computed, not measured: Cs4ThNp3Se8 after structural relaxation at the PBE level of DFT.

```
16
Lattice="4.341 2.506 8.399 -4.341 2.506 8.399 0.000 -5.013 8.399" Properties=species:S:1:pos:R:3 pbc="T T T"
Cs 0.000 0.000 0.000
Cs -2.170 -1.253 8.399
Cs -2.170 1.253 16.797
Cs 0.000 2.506 8.399
Th 0.000 0.000 12.598
Np -4.341 0.000 12.598
Np -2.170 1.253 4.199
Np 2.170 1.253 4.199
Se 0.000 0.000 5.738
Se -2.159 -1.247 14.182
Se 0.000 -2.493 11.013
Se -2.159 1.247 11.013
Se 2.159 -1.247 14.182
Se 0.000 2.493 14.182
Se 2.159 1.247 11.013
Se 0.000 0.000 19.458
```

Energy relative to the elements, uncorrected, kcal/mol of atoms: -30.4



# 6
Computed, not measured: Pm2TmTi after structural relaxation at the PBE level of DFT.

```
12
Lattice="3.377 0.000 0.000 -1.689 2.925 0.000 0.000 0.000 35.413" Properties=species:S:1:pos:R:3 pbc="T T T"
Pm 0.000 0.000 2.952
Pm 0.000 0.000 32.460
Pm 0.000 1.950 20.656
Pm 0.000 1.950 26.561
Pm 1.689 0.975 8.852
Pm 1.689 0.975 14.756
Tm 0.000 0.000 17.706
Tm 0.000 1.950 5.902
Tm 1.689 0.975 29.511
Ti 0.000 0.000 0.000
Ti 0.000 1.950 23.608
Ti 1.689 0.975 11.804
```

Energy relative to the elements, eV/f.u.: 1.77



# 7
Computed, not measured: PmPr5Er6 after structural relaxation at the PBE level of DFT.

```
12
Lattice="-2.573 5.016 7.691 2.573 -5.016 7.691 2.573 5.016 -7.691" Properties=species:S:1:pos:R:3 pbc="T T T"
Pm 0.000 0.000 0.000
Pr 2.573 0.000 2.553
Pr 0.000 0.000 5.126
Pr 0.000 5.016 0.000
Pr 0.000 0.000 10.257
Pr 0.000 5.016 5.138
Er 2.573 -2.512 5.131
Er 2.573 2.501 0.000
Er 0.000 2.504 2.561
Er 2.573 2.512 5.131
Er 0.000 2.515 7.691
Er 0.000 7.528 2.561
```

Energy relative to the elements, eV/f.u.: 0.22



# 8
Computed, not measured: HfCdH2 after structural relaxation at the PBE level of DFT.

```
16
Lattice="4.579 0.000 0.000 0.000 4.579 0.000 0.000 0.000 10.067" Properties=species:S:1:pos:R:3 pbc="T T T"
Hf 0.000 0.000 0.000
Hf 0.000 2.289 2.517
Hf 2.289 0.000 7.550
Hf 2.289 2.289 5.034
Cd 0.000 0.000 5.034
Cd 0.000 2.289 7.550
Cd 2.289 0.000 2.517
Cd 2.289 2.289 0.000
H 0.791 1.145 1.258
H 1.145 3.080 3.775
H 1.145 3.788 8.809
H 1.498 1.145 6.292
H 3.080 3.434 6.292
H 3.434 0.791 8.809
H 3.434 1.498 3.775
H 3.788 3.434 1.258
```

Calculated total energy, eV per atom: -4.377



# 9
Computed, not measured: Tm3CdPd3 after structural relaxation at the PBE level of DFT.

```
14
Lattice="8.260 0.000 0.000 -4.130 7.154 0.000 0.000 0.000 5.068" Properties=species:S:1:pos:R:3 pbc="T T T"
Tm -1.004 2.975 1.267
Tm -1.052 6.536 1.267
Tm 2.074 2.357 3.801
Tm 2.056 4.797 1.267
Tm 5.182 0.618 3.801
Tm 5.134 4.179 3.801
Cd 0.000 4.769 3.801
Cd 4.130 2.385 1.267
Pd -0.559 1.610 3.801
Pd -2.457 6.833 3.801
Pd 1.115 1.289 1.267
Pd 3.016 5.865 3.801
Pd 6.587 0.321 1.267
Pd 4.689 5.544 1.267
```

Energy relative to the elements, eV/f.u.: -4.60



# 10
Computed, not measured: ZrAsPdF2 after structural relaxation at the PBE level of DFT.

```
5
Lattice="4.078 0.000 0.000 0.000 4.078 0.000 0.000 0.000 5.507" Properties=species:S:1:pos:R:3 pbc="T T T"
Zr 0.000 0.000 0.000
As 0.000 0.000 2.753
Pd 2.039 2.039 2.753
F 0.000 2.039 0.000
F 2.039 0.000 0.000
```

Energy relative to the elements, uncorrected, kcal/mol of atoms: -39.8



# 11
Computed, not measured: Cu2TeRhF after structural relaxation at the PBE level of DFT.

```
5
Lattice="3.909 0.000 0.000 0.000 3.909 0.000 0.000 0.000 5.514" Properties=species:S:1:pos:R:3 pbc="T T T"
Cu 0.000 1.955 0.000
Cu 1.955 0.000 0.000
Te 0.000 0.000 2.757
Rh 1.955 1.955 2.757
F 0.000 0.000 0.000
```

Energy relative to the elements, uncorrected, kcal/mol of atoms: 2.3



# 12
Computed, not measured: Th2Ga3CoIr4 after structural relaxation at the PBE level of DFT.

```
10
Lattice="4.216 0.000 0.000 0.000 4.216 0.000 0.000 0.000 10.382" Properties=species:S:1:pos:R:3 pbc="T T T"
Th 0.000 2.108 2.562
Th 2.108 0.000 7.820
Ga 0.000 2.108 9.050
Ga 2.108 0.000 1.332
Ga 2.108 2.108 5.191
Co 0.000 0.000 5.191
Ir 0.000 0.000 0.000
Ir 0.000 2.108 6.589
Ir 2.108 0.000 3.793
Ir 2.108 2.108 0.000
```

Energy relative to the elements, eV/f.u.: -6.40



# 13
Computed, not measured: MgBe3C after structural relaxation at the PBE level of DFT.

```
5
Lattice="4.388 0.000 0.000 0.000 4.388 0.000 0.000 0.000 4.388" Properties=species:S:1:pos:R:3 pbc="T T T"
Mg 0.000 0.000 0.000
Be 0.000 0.000 2.194
Be 0.000 2.194 0.000
Be 2.194 0.000 0.000
C 2.194 2.194 2.194
```

Energy relative to the elements, eV/f.u.: 13.70



# 14
Computed, not measured: Pr2Dy3Au2 after structural relaxation at the PBE level of DFT.

```
14
Lattice="12.971 0.000 0.000 0.000 3.779 0.000 -4.213 0.000 8.265" Properties=species:S:1:pos:R:3 pbc="T T T"
Pr 0.642 0.000 2.592
Pr 1.631 1.890 5.673
Pr 7.127 1.890 2.592
Pr 8.117 0.000 5.673
Dy -2.107 1.890 4.132
Dy -2.498 1.890 7.827
Dy 4.771 0.000 0.438
Dy 4.379 0.000 4.132
Dy 3.988 0.000 7.827
Dy 11.257 1.890 0.438
Au -0.971 0.000 6.078
Au 3.244 1.890 2.187
Au 5.514 1.890 6.078
Au 9.730 0.000 2.187
```

Energy relative to the elements, eV/f.u.: -3.49



# 15
Computed, not measured: V4TcOs3 after structural relaxation at the PBE level of DFT.

```
8
Lattice="3.009 0.000 0.000 0.000 4.286 0.000 0.000 0.000 8.562" Properties=species:S:1:pos:R:3 pbc="T T T"
V 0.000 0.000 0.000
V 0.000 0.000 4.281
V 0.000 2.143 2.105
V 0.000 2.143 6.457
Tc 1.504 2.143 0.000
Os 1.504 0.000 2.155
Os 1.504 0.000 6.406
Os 1.504 2.143 4.281
```

Energy relative to the elements, eV/f.u.: -2.29



# 16
Computed, not measured: RbNa2Ti after structural relaxation at the PBE level of DFT.

```
16
Lattice="8.607 0.000 0.000 0.000 8.607 0.000 0.000 0.000 8.607" Properties=species:S:1:pos:R:3 pbc="T T T"
Rb 0.000 0.000 0.000
Rb 0.000 4.304 4.304
Rb 4.304 0.000 4.304
Rb 4.304 4.304 0.000
Na 2.152 2.152 2.152
Na 2.152 2.152 6.455
Na 2.152 6.455 2.152
Na 2.152 6.455 6.455
Na 6.455 2.152 2.152
Na 6.455 2.152 6.455
Na 6.455 6.455 2.152
Na 6.455 6.455 6.455
Ti 0.000 0.000 4.304
Ti 0.000 4.304 0.000
Ti 4.304 0.000 0.000
Ti 4.304 4.304 4.304
```

Energy relative to the elements, eV/f.u.: 3.26



# 17
Computed, not measured: UPd4Au5 after structural relaxation at the PBE level of DFT.

```
10
Lattice="4.977 0.000 0.000 1.449 5.776 0.000 1.745 1.275 6.191" Properties=species:S:1:pos:R:3 pbc="T T T"
U 0.000 0.000 0.000
Pd 2.435 2.450 3.810
Pd 2.480 0.870 1.254
Pd 5.690 6.181 4.937
Pd 5.735 4.602 2.381
Au 0.724 2.888 0.000
Au 3.202 5.350 3.631
Au 3.261 3.699 1.246
Au 4.909 3.352 4.945
Au 4.967 1.701 2.560
```

Energy relative to the elements, eV/f.u.: -2.22



# 18
Computed, not measured: SiW3 after structural relaxation at the PBE level of DFT.

```
4
Lattice="2.765 0.000 0.000 0.000 4.254 0.000 0.000 0.000 5.269" Properties=species:S:1:pos:R:3 pbc="T T T"
Si 0.000 0.000 0.000
W 0.000 0.000 2.634
W 1.382 2.127 1.274
W 1.382 2.127 3.995
```

Energy relative to the elements, uncorrected, kcal/mol of atoms: 4.5



# 19
Computed, not measured: LaAlInBi2 after structural relaxation at the PBE level of DFT.

```
5
Lattice="5.443 0.000 0.000 0.000 5.443 0.000 0.000 0.000 5.796" Properties=species:S:1:pos:R:3 pbc="T T T"
La 0.000 0.000 0.000
Al 0.000 0.000 2.898
In 2.721 2.721 0.000
Bi 0.000 2.721 2.898
Bi 2.721 0.000 2.898
```

Energy relative to the elements, eV/f.u.: 0.65



# 20
Computed, not measured: Tb12TlFe6 after structural relaxation at the PBE level of DFT.

```
19
Lattice="-4.875 4.875 4.875 4.875 -4.875 4.875 4.875 4.875 -4.875" Properties=species:S:1:pos:R:3 pbc="T T T"
Tb 4.875 -1.959 2.973
Tb 2.916 1.902 0.000
Tb 6.835 1.902 0.000
Tb 2.973 4.875 -1.959
Tb 1.902 0.000 2.916
Tb 0.000 2.916 1.902
Tb 4.875 1.959 2.973
Tb 2.973 4.875 1.959
Tb 1.902 0.000 6.835
Tb -1.959 2.973 4.875
Tb 1.959 2.973 4.875
Tb 0.000 6.835 1.902
Tl 0.000 0.000 0.000
Fe 4.875 0.000 1.064
Fe 4.875 3.811 0.000
Fe 1.064 4.875 0.000
Fe 3.811 0.000 4.875
Fe 0.000 1.064 4.875
Fe 0.000 4.875 3.811
```

Energy relative to the elements, eV/f.u.: -1.09